Compound: AlGa2Hg
Source: the Alexandria database
Functional: GGA-PBE
Structure: optimized geometry

Output
- formation energy from the elements (eV/atom) = 0.09
- space group = P4/mmm (123)
- energy relative to the lowest polymorph listed for this composition (eV per atom) = 0.0265
- calculated total energy (eV/atom) = -2.432

The structure in extended XYZ format:
```
4
Lattice="2.973 0.000 0.000 0.000 2.973 0.000 0.000 0.000 9.124" Properties=species:S:1:pos:R:3 pbc="T T T"
Ga 0.000 0.000 2.074
Ga 0.000 0.000 7.050
Al 1.487 1.487 0.000
Hg 1.487 1.487 4.562
```